## MgZr2Pb (GGA-PBE)

Data for MgZr2Pb after structural relaxation.

Output
The calculation puts the total magnetization at 0.00 μB/cell. The uncorrected energy is -5.69 eV per atom. Its formation energy is -94 meV/atom.

Unit cell a=6.282 b=8.964 c=3.229 alpha=90.00 beta=90.00 gamma=90.00
Space group Cmmm (No. 65)
Inequivalent atoms, fractional coordinates:
Mg (0.000, 0.000, 0.000) (multiplicity 2)
Zr (0.250, 0.250, 0.500) (multiplicity 4)
Pb (0.000, 0.500, 0.000) (multiplicity 2)